An optimized crystal structure of VNiB2H. Source: Alexandria, functional GGA-PBE.

Crystal system: tetragonal
VASP energy: -5.341 eV/atom

Unit cell a=3.9317 b=3.0632 c=3.9317 alpha=90.00 beta=90.00 gamma=90.00
Site moments in Bohr magnetons follow the coordinates.
Element x y z (fractional)
1 B 0.0000 0.0000 0.5000  0.00
2 Ni 0.5000 0.5000 0.5000  0.13
3 B 0.5000 0.0000 0.0000  0.01
4 H 0.0000 0.5000 0.0000  0.00
5 V 0.0000 0.0000 0.0000  0.04